Computed, not measured: Cu2TeP after structural relaxation at the GGA-PBE level of DFT.

Lattice parameters (Å, degrees): 3.221 3.221 7.512 90.00 90.00 96.46
Sites, in units of the cell vectors:
Cu: 0.000 0.000 0.056
Cu: 0.500 0.500 0.247
P: 0.000 0.000 0.367
Te: 0.500 0.500 0.830

For the total energy, the calculation gives -4.00 eV per atom. The value obtained for the size of the total moment is 0.000 μB per formula unit.



Computed, not measured: CuTeP2 after structural relaxation at the GGA-PBE level of DFT.

Lattice parameters (Å, degrees): 4.618 4.618 4.618 119.90 119.90 90.18
Sites, in units of the cell vectors:
Cu: 0.750 0.250 0.500
P: 0.000 0.000 0.000
P: 0.250 0.750 0.500
Te: 0.500 0.500 0.000

For the total energy, the calculation gives -3.83 eV per atom. The value obtained for the size of the total moment is 0.000 μB per formula unit.



Computed, not measured: Cu2TeP after structural relaxation at the GGA-PBE level of DFT.

Lattice parameters (Å, degrees): 3.853 4.365 4.361 81.31 90.00 90.00
Sites, in units of the cell vectors:
Cu: 0.000 0.050 0.048
Cu: 0.000 0.450 0.452
P: 0.500 0.250 0.250
Te: 0.500 0.750 0.750

For the total energy, the calculation gives -4.00 eV per atom. The value obtained for the size of the total moment is 0.000 μB per formula unit.



Computed, not measured: Cu4TeP after structural relaxation at the GGA-PBE level of DFT.

Lattice parameters (Å, degrees): 5.034 5.034 5.034 60.00 60.00 60.00
Sites, in units of the cell vectors:
Cu: 0.376 0.873 0.376
Cu: 0.873 0.376 0.376
Cu: 0.376 0.376 0.873
Cu: 0.376 0.376 0.376
Te: 0.000 0.000 0.000
P: 0.750 0.750 0.750

For the total energy, the calculation gives -3.84 eV per atom. The value obtained for the size of the total moment is 0.000 μB per formula unit.



Computed, not measured: Cu2TeP after structural relaxation at the GGA-PBE level of DFT.

Lattice parameters (Å, degrees): 4.166 4.166 5.930 68.32 68.32 49.63
Sites, in units of the cell vectors:
Cu: 0.997 0.997 0.945
Cu: 0.784 0.784 0.718
P: 0.518 0.518 0.632
Te: 0.201 0.201 0.205

For the total energy, the calculation gives -4.09 eV per atom. The value obtained for the size of the total moment is 0.000 μB per formula unit.



Computed, not measured: CuTeP2 after structural relaxation at the GGA-PBE level of DFT.

Lattice parameters (Å, degrees): 3.152 3.152 9.313 90.00 90.00 90.00
Sites, in units of the cell vectors:
Cu: 0.500 0.500 0.750
P: 0.000 0.000 0.866
P: 0.000 0.000 0.634
Te: 0.500 0.500 0.250

For the total energy, the calculation gives -4.17 eV per atom. The value obtained for the size of the total moment is 0.000 μB per formula unit.



Computed, not measured: Cu2TeP after structural relaxation at the GGA-PBE level of DFT.

Lattice parameters (Å, degrees): 4.248 4.248 3.760 90.00 90.00 90.00
Sites, in units of the cell vectors:
Cu: 0.000 0.000 0.000
Cu: 0.500 0.500 0.000
P: 0.500 0.000 0.500
Te: 0.000 0.500 0.500

For the total energy, the calculation gives -3.72 eV per atom. The value obtained for the size of the total moment is 0.000 μB per formula unit.



Computed, not measured: Cu3TeP after structural relaxation at the GGA-PBE level of DFT.

Lattice parameters (Å, degrees): 4.871 4.871 4.871 90.00 90.00 90.00
Last column: magnetic moment on the atom in μB.
Sites, in units of the cell vectors:
P: 0.500 0.500 0.500  0.68
Te: 0.000 0.000 0.000  0.10
Cu: 0.000 0.500 0.000  0.12
Cu: 0.000 0.000 0.500  0.06
Cu: 0.500 0.000 0.000  0.11

For the total energy, the calculation gives -3.18 eV per atom. The value obtained for the size of the total moment is 1.999 μB per formula unit.



Computed, not measured: Cu2TeP after structural relaxation at the GGA-PBE level of DFT.

Lattice parameters (Å, degrees): 4.463 4.463 3.542 90.00 90.00 104.67
Sites, in units of the cell vectors:
Cu: 0.000 0.000 0.000
Cu: 0.500 0.500 0.000
P: 0.500 0.000 0.500
Te: 0.000 0.500 0.500

For the total energy, the calculation gives -3.75 eV per atom. The value obtained for the size of the total moment is 0.000 μB per formula unit.



Computed, not measured: CuTeP2 after structural relaxation at the GGA-PBE level of DFT.

Lattice parameters (Å, degrees): 3.243 4.639 5.793 78.09 90.00 90.00
Sites, in units of the cell vectors:
Cu: 0.500 0.697 0.834
P: 0.000 0.954 0.067
P: 0.500 0.262 0.107
Te: 0.000 0.587 0.491

For the total energy, the calculation gives -4.33 eV per atom. The value obtained for the size of the total moment is 0.000 μB per formula unit.